# Nd2Ni12P7 | Alexandria via LeMat-Bulk | PBE | relaxed
data_Nd2Ni12P7
_cell_length_a 9.096
_cell_length_b 9.096
_cell_length_c 3.755
_cell_angle_alpha 90.00
_cell_angle_beta 90.00
_cell_angle_gamma 120.00
_symmetry_space_group_name_H-M 'P 1'
_symmetry_Int_Tables_number 1
loop_
_symmetry_equiv_pos_as_xyz
'x,y,z'
loop_
_atom_site_label
_atom_site_type_symbol
_atom_site_fract_x
_atom_site_fract_y
_atom_site_fract_z
_atom_site_occupancy
Nd1 Nd 0.000 0.000 0.000 1
Nd2 Nd 0.333 0.667 0.500 1
Ni1 Ni 0.046 0.760 0.500 1
Ni2 Ni 0.098 0.393 0.000 1
Ni3 Ni 0.240 0.285 0.500 1
Ni4 Ni 0.295 0.902 0.000 1
Ni5 Ni 0.394 0.210 0.000 1
Ni6 Ni 0.550 0.124 0.500 1
Ni7 Ni 0.574 0.450 0.500 1
Ni8 Ni 0.607 0.705 0.000 1
Ni9 Ni 0.715 0.954 0.500 1
Ni10 Ni 0.790 0.184 0.000 1
Ni11 Ni 0.816 0.606 0.000 1
Ni12 Ni 0.876 0.426 0.500 1
P1 P 0.070 0.630 0.000 1
P2 P 0.267 0.037 0.500 1
P3 P 0.370 0.440 0.000 1
P4 P 0.560 0.930 0.000 1
P5 P 0.667 0.333 0.000 1
P6 P 0.770 0.733 0.500 1
P7 P 0.963 0.230 0.500 1
# Uncorrected energy = -132.3 eV per cell
# Relative energy among the computed polymorphs = 0 meV per atom
# DFT formation energy = -0.741 eV per atom


# MoAsSe | Alexandria via LeMat-Bulk | PBE | relaxed
data_MoAsSe
_cell_length_a 6.607
_cell_length_b 6.607
_cell_length_c 6.607
_cell_angle_alpha 152.98
_cell_angle_beta 152.98
_cell_angle_gamma 38.58
_symmetry_space_group_name_H-M 'P 1'
_symmetry_Int_Tables_number 1
loop_
_symmetry_equiv_pos_as_xyz
'x,y,z'
loop_
_atom_site_label
_atom_site_type_symbol
_atom_site_fract_x
_atom_site_fract_y
_atom_site_fract_z
_atom_site_occupancy
Mo1 Mo 0.000 0.000 0.000 1
As1 As 0.631 0.631 0.000 1
Se1 Se 0.382 0.382 0.000 1
# Uncorrected energy = -19.4 eV per cell
# Relative energy among the computed polymorphs = 107 meV per atom


# Ba2SrBr | Alexandria via LeMat-Bulk | PBE | relaxed
data_Ba2SrBr
_cell_length_a 7.884
_cell_length_b 7.884
_cell_length_c 7.884
_cell_angle_alpha 139.13
_cell_angle_beta 139.13
_cell_angle_gamma 59.17
_symmetry_space_group_name_H-M 'P 1'
_symmetry_Int_Tables_number 1
loop_
_symmetry_equiv_pos_as_xyz
'x,y,z'
loop_
_atom_site_label
_atom_site_type_symbol
_atom_site_fract_x
_atom_site_fract_y
_atom_site_fract_z
_atom_site_occupancy
Ba1 Ba 0.250 0.750 0.500 1
Ba2 Ba 0.750 0.250 0.500 1
Sr1 Sr 0.000 0.000 0.000 1
Br1 Br 0.500 0.500 0.000 1
# Uncorrected energy = -8.7 eV per cell
# Relative energy among the computed polymorphs = 387 meV per atom


# Rb4NaHg5 | Alexandria via LeMat-Bulk | PBE | relaxed
data_Rb4NaHg5
_cell_length_a 8.934
_cell_length_b 8.934
_cell_length_c 8.934
_cell_angle_alpha 96.23
_cell_angle_beta 96.23
_cell_angle_gamma 141.53
_symmetry_space_group_name_H-M 'P 1'
_symmetry_Int_Tables_number 1
loop_
_symmetry_equiv_pos_as_xyz
'x,y,z'
loop_
_atom_site_label
_atom_site_type_symbol
_atom_site_fract_x
_atom_site_fract_y
_atom_site_fract_z
_atom_site_occupancy
Rb1 Rb 0.000 0.288 0.288 1
Rb2 Rb 0.000 0.712 0.712 1
Rb3 Rb 0.288 0.000 0.288 1
Rb4 Rb 0.712 0.000 0.712 1
Na1 Na 0.300 0.300 0.000 1
Hg1 Hg 0.329 0.329 0.630 1
Hg2 Hg 0.329 0.698 0.000 1
Hg3 Hg 0.698 0.329 0.000 1
Hg4 Hg 0.698 0.698 0.370 1
Hg5 Hg 0.789 0.789 0.000 1
# Uncorrected energy = -8.6 eV per cell
# DFT formation energy = -0.192 eV per atom


# Tb2CeRh2 | Alexandria via LeMat-Bulk | PBE | relaxed
data_Tb2CeRh2
_cell_length_a 6.973
_cell_length_b 6.973
_cell_length_c 7.875
_cell_angle_alpha 108.22
_cell_angle_beta 108.22
_cell_angle_gamma 47.88
_symmetry_space_group_name_H-M 'P 1'
_symmetry_Int_Tables_number 1
loop_
_symmetry_equiv_pos_as_xyz
'x,y,z'
loop_
_atom_site_label
_atom_site_type_symbol
_atom_site_fract_x
_atom_site_fract_y
_atom_site_fract_z
_atom_site_occupancy
Tb1 Tb 0.009 0.009 0.262 1
Tb2 Tb 0.331 0.331 0.430 1
Tb3 Tb 0.669 0.669 0.570 1
Tb4 Tb 0.991 0.991 0.738 1
Ce1 Ce 0.339 0.339 0.919 1
Ce2 Ce 0.661 0.661 0.081 1
Rh1 Rh 0.176 0.176 0.625 1
Rh2 Rh 0.484 0.484 0.232 1
Rh3 Rh 0.516 0.516 0.768 1
Rh4 Rh 0.824 0.824 0.375 1
# Uncorrected energy = -65.7 eV per cell
# Relative energy among the computed polymorphs = 0 meV per atom
# DFT formation energy = -0.595 eV per atom


# TcPtO2 | Alexandria via LeMat-Bulk | PBE | relaxed
data_TcPtO2
_cell_length_a 5.746
_cell_length_b 5.746
_cell_length_c 5.746
_cell_angle_alpha 128.41
_cell_angle_beta 128.41
_cell_angle_gamma 75.96
_symmetry_space_group_name_H-M 'P 1'
_symmetry_Int_Tables_number 1
loop_
_symmetry_equiv_pos_as_xyz
'x,y,z'
loop_
_atom_site_label
_atom_site_type_symbol
_atom_site_fract_x
_atom_site_fract_y
_atom_site_fract_z
_atom_site_occupancy
Tc1 Tc 0.000 0.000 0.000 1
Tc2 Tc 0.750 0.250 0.500 1
Pt1 Pt 0.250 0.750 0.500 1
Pt2 Pt 0.500 0.500 0.000 1
O1 O 0.062 0.625 0.937 1
O2 O 0.375 0.312 0.437 1
O3 O 0.688 0.125 0.063 1
O4 O 0.875 0.938 0.563 1
# Uncorrected energy = -52.9 eV per cell
# Relative energy among the computed polymorphs = 758 meV per atom


# Sr2Ca2Se | Alexandria via LeMat-Bulk | PBE | relaxed
data_Sr2Ca2Se
_cell_length_a 7.936
_cell_length_b 7.936
_cell_length_c 6.747
_cell_angle_alpha 90.00
_cell_angle_beta 90.00
_cell_angle_gamma 90.00
_symmetry_space_group_name_H-M 'P 1'
_symmetry_Int_Tables_number 1
loop_
_symmetry_equiv_pos_as_xyz
'x,y,z'
loop_
_atom_site_label
_atom_site_type_symbol
_atom_site_fract_x
_atom_site_fract_y
_atom_site_fract_z
_atom_site_occupancy
Sr1 Sr 0.166 0.334 0.000 1
Sr2 Sr 0.334 0.834 0.000 1
Sr3 Sr 0.666 0.166 0.000 1
Sr4 Sr 0.834 0.666 0.000 1
Ca1 Ca 0.168 0.668 0.500 1
Ca2 Ca 0.332 0.168 0.500 1
Ca3 Ca 0.668 0.832 0.500 1
Ca4 Ca 0.832 0.332 0.500 1
Se1 Se 0.000 0.000 0.500 1
Se2 Se 0.500 0.500 0.500 1
# Uncorrected energy = -26.6 eV per cell
# Relative energy among the computed polymorphs = 0 meV per atom


# InW3 | Alexandria via LeMat-Bulk | PBE | relaxed
data_InW3
_cell_length_a 2.770
_cell_length_b 4.787
_cell_length_c 5.194
_cell_angle_alpha 90.00
_cell_angle_beta 90.00
_cell_angle_gamma 90.00
_symmetry_space_group_name_H-M 'P 1'
_symmetry_Int_Tables_number 1
loop_
_symmetry_equiv_pos_as_xyz
'x,y,z'
loop_
_atom_site_label
_atom_site_type_symbol
_atom_site_fract_x
_atom_site_fract_y
_atom_site_fract_z
_atom_site_occupancy
In1 In 0.000 0.000 0.000 1
W1 W 0.000 0.500 0.313 1
W2 W 0.500 0.000 0.505 1
W3 W 0.500 0.500 0.803 1
# Uncorrected energy = -39.3 eV per cell
# DFT formation energy = 0.574 eV per atom